1.
The following is a DFT calculation (PBE) of crystalline Ho3Zn9Ru2 at its relaxed geometry.

Lattice parameters (Å, degrees): 8.0332 8.0332 8.0332 148.73 110.81 77.88
Positions (direct):
Ho: 0.0000 0.0000 0.0000
Ho: 0.3090 0.3090 0.0000
Ho: 0.6910 0.6910 0.0000
Zn: 0.0209 0.6602 0.3607
Zn: 0.1515 0.8742 0.2773
Zn: 0.2995 0.6602 0.6393
Zn: 0.4031 0.1258 0.2773
Zn: 0.5000 0.0000 0.5000
Zn: 0.5969 0.8742 0.7227
Zn: 0.7005 0.3398 0.3607
Zn: 0.8485 0.1258 0.7227
Zn: 0.9791 0.3398 0.6393
Ru: 0.3206 0.5000 0.8206
Ru: 0.6794 0.5000 0.1794

Summary:
DFT total energy: -3.43 eV/atom
E_form: -307 meV per atom

2.
The following is a DFT calculation (PBE) of crystalline Ho3ZnRu3 at its relaxed geometry.

Lattice parameters (Å, degrees): 5.5039 5.5039 13.2307 90.00 90.00 134.20
Positions (direct):
Ho: 0.0086 0.9914 0.7500
Ho: 0.2963 0.7037 0.6045
Ho: 0.2963 0.7037 0.8955
Ho: 0.7037 0.2963 0.1045
Ho: 0.7037 0.2963 0.3955
Ho: 0.9914 0.0086 0.2500
Zn: 0.0000 0.0000 0.0000
Zn: 0.0000 0.0000 0.5000
Ru: 0.2837 0.7163 0.2500
Ru: 0.4159 0.5841 0.0929
Ru: 0.4159 0.5841 0.4071
Ru: 0.5841 0.4159 0.5929
Ru: 0.5841 0.4159 0.9071
Ru: 0.7163 0.2837 0.7500

Summary:
DFT total energy: -6.48 eV/atom
E_form: -366 meV per atom

3.
The following is a DFT calculation (PBE) of crystalline Ho4ZnRu at its relaxed geometry.

Lattice parameters (Å, degrees): 9.4401 9.4401 9.4401 60.00 60.00 60.00
Positions (direct):
Ho: 0.0582 0.0582 0.4418
Ho: 0.0582 0.4418 0.0582
Ho: 0.0582 0.4418 0.4418
Ho: 0.1880 0.1880 0.8120
Ho: 0.1880 0.8120 0.1880
Ho: 0.1880 0.8120 0.8120
Ho: 0.1992 0.6002 0.6002
Ho: 0.4418 0.0582 0.0582
Ho: 0.4418 0.0582 0.4418
Ho: 0.4418 0.4418 0.0582
Ho: 0.6002 0.1992 0.6002
Ho: 0.6002 0.6002 0.1992
Ho: 0.6002 0.6002 0.6002
Ho: 0.8120 0.1880 0.1880
Ho: 0.8120 0.1880 0.8120
Ho: 0.8120 0.8120 0.1880
Zn: 0.5187 0.8271 0.8271
Zn: 0.8271 0.5187 0.8271
Zn: 0.8271 0.8271 0.5187
Zn: 0.8271 0.8271 0.8271
Ru: 0.3899 0.3899 0.3899
Ru: 0.3899 0.3899 0.8303
Ru: 0.3899 0.8303 0.3899
Ru: 0.8303 0.3899 0.3899

Summary:
DFT total energy: -5.13 eV/atom
E_form: -315 meV per atom
E above lowest polymorph: 0 meV per atom